Below is a geometry-optimized TaZnInRu structure, with properties calculated at the PBE level.

Cell and atoms, written as POSCAR:
```
TaZnInRu
1.0
0.0000 3.2100 3.2100
3.2100 0.0000 3.2100
3.2100 3.2100 0.0000
Ta Zn In Ru
1 1 1 1
direct
0.0000 0.0000 0.0000
0.2500 0.2500 0.2500
0.5000 0.5000 0.5000
0.7500 0.7500 0.7500
```

DFT formation energy, meV/atom: -13
Raw total energy, eV/atom: -6.299

***

Below is a geometry-optimized GdPuIrAu structure, with properties calculated at the PBE level.

Cell and atoms, written as POSCAR:
```
GdPuIrAu
1.0
0.0000 3.5407 3.5407
3.5407 0.0000 3.5407
3.5407 3.5407 0.0000
Gd Pu Ir Au
1 1 1 1
direct
0.0000 0.0000 0.0000
0.5000 0.5000 0.5000
0.2500 0.2500 0.2500
0.7500 0.7500 0.7500
```

DFT formation energy, meV/atom: -550
Raw total energy, eV/atom: -10.688

***

Below is a geometry-optimized Ho2MgIr structure, with properties calculated at the PBE level.

Cell and atoms, written as POSCAR:
```
Ho2MgIr
1.0
1.9742 1.1398 9.8676
-1.9742 1.1398 9.8676
0.0000 -2.2796 9.8676
Ho Mg Ir
2 1 1
direct
0.1166 0.1166 0.1166
0.8834 0.8834 0.8834
0.0000 0.0000 0.0000
0.5000 0.5000 0.5000
```

DFT formation energy, meV/atom: -211
Raw total energy, eV/atom: -5.114

***

Below is a geometry-optimized LaY2Fe structure, with properties calculated at the PBE level.

Cell and atoms, written as POSCAR:
```
LaY2Fe
1.0
-2.3695 2.3695 4.8414
2.3695 -2.3695 4.8414
2.3695 2.3695 -4.8414
La Y Fe
1 2 1
direct
0.0000 0.0000 0.0000
0.2500 0.7500 0.5000
0.5000 0.5000 0.0000
0.7500 0.2500 0.5000
```

Energy above the most stable polymorph in this dataset, kJ/mol of atoms: 25.9
DFT formation energy, meV/atom: 365
Raw total energy, eV/atom: -6.215

***

Below is a geometry-optimized YTlP3 structure, with properties calculated at the PBE level.

Cell and atoms, written as POSCAR:
```
YTlP3
1.0
5.3198 0.0000 0.0000
0.0000 5.3198 0.0000
0.0000 0.0000 5.3198
Y Tl P
1 1 3
direct
0.0000 0.0000 0.0000
0.5000 0.5000 0.5000
0.0000 0.0000 0.5000
0.0000 0.5000 0.0000
0.5000 0.0000 0.0000
```

Energy above the most stable polymorph in this dataset, kJ/mol of atoms: 0.0
DFT formation energy, meV/atom: 418
Raw total energy, eV/atom: -4.594

***

Below is a geometry-optimized Pm11Mg9Tl4 structure, with properties calculated at the PBE level.

Cell and atoms, written as POSCAR:
```
Pm11Mg9Tl4
1.0
7.7775 -11.5555 0.0000
7.7775 11.5555 0.0000
0.0000 0.0000 3.8708
Pm Mg Tl
11 9 4
direct
0.0000 0.0000 0.0000
0.0616 0.4098 0.0000
0.1701 0.8299 0.0000
0.2555 0.2555 0.0000
0.3518 0.6482 0.0000
0.4098 0.0616 0.0000
0.5902 0.9384 0.0000
0.6482 0.3518 0.0000
0.7445 0.7445 0.0000
0.8299 0.1701 0.0000
0.9384 0.5902 0.0000
0.0413 0.2050 0.5000
0.1461 0.6253 0.5000
0.2050 0.0413 0.5000
0.3747 0.8539 0.5000
0.5000 0.5000 0.5000
0.6253 0.1461 0.5000
0.7950 0.9587 0.5000
0.8539 0.3747 0.5000
0.9587 0.7950 0.5000
0.2607 0.4462 0.5000
0.4462 0.2607 0.5000
0.5538 0.7393 0.5000
0.7393 0.5538 0.5000
```

DFT formation energy, meV/atom: -173
Raw total energy, eV/atom: -3.342

***

Below is a geometry-optimized Th6CoSe2S3 structure, with properties calculated at the PBE level.

Cell and atoms, written as POSCAR:
```
Th6CoSe2S3
1.0
3.6106 -6.1904 0.0000
3.6106 6.1904 0.0000
-2.4077 0.0000 6.6230
Th Co Se S
6 1 2 3
direct
0.0836 0.3955 0.7510
0.2290 0.2290 0.2407
0.3955 0.0836 0.7510
0.6045 0.9164 0.2490
0.7710 0.7710 0.7593
0.9164 0.6045 0.2490
0.0000 0.0000 0.5000
0.3346 0.6654 0.5000
0.6654 0.3346 0.5000
0.1755 0.8245 0.0000
0.5000 0.5000 0.0000
0.8245 0.1755 0.0000
```

Formation energy from raw total energies, meV/atom: -1470
Raw total energy, eV/atom: -7.385

***

Below is a geometry-optimized GdHo2Er structure, with properties calculated at the PBE level.

Cell and atoms, written as POSCAR:
```
GdHo2Er
1.0
1.7676 1.0205 11.5184
-1.7676 1.0205 11.5184
0.0000 -2.0410 11.5184
Gd Ho Er
1 2 1
direct
0.0000 0.0000 0.0000
0.2491 0.2491 0.2491
0.7509 0.7509 0.7509
0.5000 0.5000 0.5000
```

Energy above the most stable polymorph in this dataset, kJ/mol of atoms: 0.2
DFT formation energy, meV/atom: 24
Raw total energy, eV/atom: -6.926

***

Below is a geometry-optimized GdLu2Mg structure, with properties calculated at the PBE level.

Cell and atoms, written as POSCAR:
```
GdLu2Mg
1.0
0.0000 3.8462 3.8462
3.8462 0.0000 3.8462
3.8462 3.8462 0.0000
Gd Lu Mg
1 2 1
direct
0.0000 0.0000 0.0000
0.2500 0.2500 0.2500
0.7500 0.7500 0.7500
0.5000 0.5000 0.5000
```

Energy above the most stable polymorph in this dataset, kJ/mol of atoms: 9.4
DFT formation energy, meV/atom: 88
Raw total energy, eV/atom: -6.091

***

Below is a geometry-optimized TbEr6Tl4 structure, with properties calculated at the PBE level.

Cell and atoms, written as POSCAR:
```
TbEr6Tl4
1.0
-3.1498 3.1498 8.3894
3.1498 -3.1498 8.3894
3.1498 3.1498 -8.3894
Tb Er Tl
1 6 4
direct
0.0000 0.0000 0.0000
0.0000 0.5000 0.5000
0.0845 0.0845 0.5297
0.4453 0.9155 0.0000
0.5000 0.0000 0.5000
0.5547 0.5547 0.4703
0.9155 0.4453 0.0000
0.1074 0.6214 0.0000
0.3786 0.3786 0.4860
0.6214 0.1074 0.0000
0.8926 0.8926 0.5140
```

DFT formation energy, meV/atom: -106
Raw total energy, eV/atom: -3.876

***

Below is a geometry-optimized Li2BPd5 structure, with properties calculated at the PBE level.

Cell and atoms, written as POSCAR:
```
Li2BPd5
1.0
3.9271 -3.9592 0.0000
3.9271 3.9592 0.0000
-3.9196 0.0000 3.9636
Li B Pd
2 1 5
direct
0.2500 0.7500 0.0000
0.7500 0.2500 0.0000
0.0232 0.0232 0.5008
0.2595 0.2595 0.0138
0.2597 0.7462 0.5003
0.7462 0.2597 0.5003
0.7468 0.7468 0.9875
0.7505 0.7505 0.4997
```

Energy above the most stable polymorph in this dataset, kJ/mol of atoms: 4.0
DFT formation energy, meV/atom: -279
Raw total energy, eV/atom: -4.838

***

Below is a geometry-optimized La8Ru3Cl4O structure, with properties calculated at the PBE level.

Cell and atoms, written as POSCAR:
```
La8Ru3Cl4O
1.0
6.9812 -4.0260 0.0000
6.9812 4.0260 0.0000
-4.6562 0.0000 7.6898
La Ru Cl O
8 3 4 1
direct
0.2265 0.7433 0.6957
0.2274 0.2274 0.6963
0.2567 0.7735 0.3043
0.2622 0.2622 0.2868
0.7378 0.7378 0.7132
0.7433 0.2265 0.6957
0.7726 0.7726 0.3037
0.7735 0.2567 0.3043
0.0000 0.5000 0.5000
0.5000 0.0000 0.5000
0.5000 0.5000 0.5000
0.0000 0.0000 0.0000
0.0000 0.5000 0.0000
0.5000 0.0000 0.0000
0.5000 0.5000 0.0000
0.0000 0.0000 0.5000
```

Formation energy from raw total energies, meV/atom: -1304
Raw total energy, eV/atom: -6.279

***

Below is a geometry-optimized NbGe2Os structure, with properties calculated at the PBE level.

Cell and atoms, written as POSCAR:
```
NbGe2Os
1.0
-1.9525 1.9525 9.1470
1.9525 -1.9525 9.1470
1.9525 1.9525 -9.1470
Nb Ge Os
2 4 2
direct
0.0000 0.0000 0.0000
0.7500 0.2500 0.5000
0.1442 0.6250 0.0192
0.3750 0.3942 0.5192
0.6058 0.1250 0.9808
0.8750 0.8558 0.4808
0.2500 0.7500 0.5000
0.5000 0.5000 0.0000
```

Energy above the most stable polymorph in this dataset, kJ/mol of atoms: 18.1
DFT formation energy, meV/atom: 287
Raw total energy, eV/atom: -7.347

***

Below is a geometry-optimized CsCu structure, with properties calculated at the PBE level.

Cell and atoms, written as POSCAR:
```
CsCu
1.0
7.3122 0.0000 0.0000
0.0000 7.3122 0.0000
0.0000 0.0000 7.0915
Cs Cu
4 4
direct
0.1891 0.1891 0.0000
0.3109 0.6891 0.5000
0.6891 0.3109 0.5000
0.8109 0.8109 0.0000
0.1209 0.1209 0.5000
0.3791 0.6209 0.0000
0.6209 0.3791 0.0000
0.8791 0.8791 0.5000
```

DFT formation energy, meV/atom: 459
Raw total energy, eV/atom: -2.016

***

Below is a geometry-optimized KHIrAuCl structure, with properties calculated at the PBE level.

Cell and atoms, written as POSCAR:
```
KHIrAuCl
1.0
4.5491 0.0000 0.0000
0.0000 3.0021 0.0000
-1.2557 0.0000 7.0842
K H Ir Au Cl
1 1 1 1 1
direct
0.0000 0.0000 0.0000
0.6625 0.5000 0.7541
0.6309 0.5000 0.5306
0.1404 0.0000 0.5605
0.5509 0.5000 0.1846
```

Energy above the most stable polymorph in this dataset, kJ/mol of atoms: 0.0
Raw total energy, eV/atom: -3.969

***

Below is a geometry-optimized BaTa2In structure, with properties calculated at the PBE level.

Cell and atoms, written as POSCAR:
```
BaTa2In
1.0
4.5261 0.0000 0.0000
0.0000 4.5261 0.0000
0.0000 0.0000 4.6737
Ba Ta In
1 2 1
direct
0.0000 0.0000 0.0000
0.0000 0.5000 0.5000
0.5000 0.0000 0.5000
0.5000 0.5000 0.0000
```

Energy above the most stable polymorph in this dataset, kJ/mol of atoms: 66.4
DFT formation energy, meV/atom: 1072
Raw total energy, eV/atom: -6.019

***

Below is a geometry-optimized Li2Y3Tl3 structure, with properties calculated at the PBE level.

Cell and atoms, written as POSCAR:
```
Li2Y3Tl3
1.0
2.3172 -5.5648 0.0000
2.3172 5.5648 0.0000
0.0000 0.0000 15.5807
Li Y Tl
4 6 6
direct
0.2164 0.7836 0.5936
0.2164 0.7836 0.9064
0.7836 0.2164 0.0936
0.7836 0.2164 0.4064
0.0829 0.9171 0.1101
0.0829 0.9171 0.3899
0.3615 0.6385 0.2500
0.6385 0.3615 0.7500
0.9171 0.0829 0.6101
0.9171 0.0829 0.8899
0.3461 0.6539 0.7500
0.3828 0.6172 0.0478
0.3828 0.6172 0.4522
0.6172 0.3828 0.5478
0.6172 0.3828 0.9522
0.6539 0.3461 0.2500
```

DFT formation energy, meV/atom: -285
Raw total energy, eV/atom: -4.075

***

Below is a geometry-optimized LiPm5Rh6 structure, with properties calculated at the PBE level.

Cell and atoms, written as POSCAR:
```
LiPm5Rh6
1.0
-2.4058 3.5380 7.2547
2.4058 -3.5380 7.2547
2.4058 3.5380 -7.2547
Li Pm Rh
1 5 6
direct
0.0000 0.0000 0.0000
0.1464 0.6464 0.5000
0.3251 0.3251 0.0000
0.5000 0.0000 0.5000
0.6749 0.6749 0.0000
0.8536 0.3536 0.5000
0.0877 0.8336 0.2541
0.2689 0.5000 0.7689
0.4205 0.1664 0.2541
0.5795 0.8336 0.7459
0.7311 0.5000 0.2311
0.9123 0.1664 0.7459
```

DFT formation energy, meV/atom: -601
Raw total energy, eV/atom: -6.416

***

Below is a geometry-optimized RbMgTiBi2 structure, with properties calculated at the PBE level.

Cell and atoms, written as POSCAR:
```
RbMgTiBi2
1.0
5.9925 0.0000 0.0000
0.0000 5.9925 0.0000
0.0000 0.0000 5.4821
Rb Mg Ti Bi
1 1 1 2
direct
0.0000 0.0000 0.0000
0.0000 0.0000 0.5000
0.5000 0.5000 0.5000
0.0000 0.5000 0.0000
0.5000 0.0000 0.0000
```

DFT formation energy, meV/atom: 1627
Raw total energy, eV/atom: -2.017

***

Below is a geometry-optimized KBe2Ir structure, with properties calculated at the PBE level.

Cell and atoms, written as POSCAR:
```
KBe2Ir
1.0
2.8321 0.0000 0.0000
0.0000 3.7149 0.0000
-0.7119 0.0000 7.1847
K Be Ir
1 2 1
direct
0.0000 0.0000 0.0000
0.5969 0.5000 0.3701
0.6486 0.0000 0.5843
0.1587 0.5000 0.6051
```

Energy above the most stable polymorph in this dataset, kJ/mol of atoms: 23.3
DFT formation energy, meV/atom: 172
Raw total energy, eV/atom: -4.181

***

no.,total magnetization (μB/cell)
1,0.00
2,1.47
3,0.00
4,2.41
5,0.00
6,0.00
7,0.00
8,7.26
9,7.58
10,0.00
11,0.00
12,0.00
13,0.00
14,0.00
15,0.00
16,0.00
17,0.00
18,0.00
19,0.11
20,0.00